Record 1
{"formula": "TlPb2O4", "functional": "PBE-GGA", "state": "relaxed", "raw_formation_energy_ev_per_atom": -0.69, "spacegroup": "Cccm (66)", "lattice": [[3.367, -6.318, 0.000], [3.367, 6.318, 0.000], [0.000, 0.000, 6.905]], "species": ["Tl", "Tl", "Pb", "Pb", "Pb", "Pb", "O", "O", "O", "O", "O", "O", "O", "O"], "fractional_positions": [[0.000, 0.000, 0.250], [0.000, 0.000, 0.750], [0.260, 0.718, 0.000], [0.282, 0.740, 0.500], [0.718, 0.260, 0.500], [0.740, 0.282, 0.000], [0.000, 0.500, 0.274], [0.000, 0.500, 0.726], [0.011, 0.200, 0.000], [0.200, 0.011, 0.500], [0.500, 0.000, 0.226], [0.500, 0.000, 0.774], [0.800, 0.989, 0.500], [0.989, 0.800, 0.000]]}

=====

Record 2
{"formula": "TlPb2O3", "functional": "PBE-GGA", "state": "relaxed", "raw_formation_energy_ev_per_atom": -0.80, "spacegroup": "C2/c (15)", "lattice": [[5.824, -3.072, 0.000], [5.824, 3.072, 0.000], [-2.369, 0.000, 6.688]], "species": ["Tl", "Tl", "Pb", "Pb", "Pb", "Pb", "O", "O", "O", "O", "O", "O"], "fractional_positions": [[0.013, 0.987, 0.750], [0.987, 0.013, 0.250], [0.297, 0.379, 0.924], [0.379, 0.297, 0.424], [0.621, 0.703, 0.576], [0.703, 0.621, 0.076], [0.105, 0.293, 0.119], [0.293, 0.105, 0.619], [0.434, 0.566, 0.750], [0.566, 0.434, 0.250], [0.707, 0.895, 0.381], [0.895, 0.707, 0.881]]}

=====

Record 3
{"formula": "Tl2Pb3O9", "functional": "PBE-GGA", "state": "relaxed", "raw_formation_energy_ev_per_atom": -0.70, "spacegroup": "I-4m2 (119)", "lattice": [[-1.910, 1.910, 13.963], [1.910, -1.910, 13.963], [1.910, 1.910, -13.963]], "species": ["Tl", "Tl", "Pb", "Pb", "Pb", "O", "O", "O", "O", "O", "O", "O", "O", "O"], "fractional_positions": [[0.200, 0.200, 0.000], [0.800, 0.800, 0.000], [0.000, 0.000, 0.000], [0.398, 0.398, 0.000], [0.602, 0.602, 0.000], [0.038, 0.538, 0.500], [0.140, 0.640, 0.500], [0.250, 0.750, 0.500], [0.360, 0.860, 0.500], [0.462, 0.962, 0.500], [0.564, 0.064, 0.500], [0.667, 0.167, 0.500], [0.833, 0.333, 0.500], [0.936, 0.436, 0.500]]}

=====

Record 4
{"formula": "TlPbO", "functional": "PBE-GGA", "state": "relaxed", "raw_formation_energy_ev_per_atom": -0.53, "de_polymorph_mev_per_atom": 88, "spacegroup": "P3m1 (156)", "lattice": [[3.532, 0.000, 0.000], [-1.766, 3.058, 0.000], [0.000, 0.000, 6.626]], "species": ["Tl", "Pb", "O"], "fractional_positions": [[0.000, 0.000, 0.000], [0.667, 0.333, 0.505], [0.333, 0.667, 0.698]]}

=====

Record 5
{"formula": "TlPbO2", "functional": "PBE-GGA", "state": "relaxed", "raw_formation_energy_ev_per_atom": -0.72, "de_polymorph_mev_per_atom": 31, "spacegroup": "I-42d (122)", "lattice": [[-2.797, 2.797, 5.524], [2.797, -2.797, 5.524], [2.797, 2.797, -5.524]], "species": ["Tl", "Tl", "Pb", "Pb", "O", "O", "O", "O"], "fractional_positions": [[0.000, 0.000, 0.000], [0.750, 0.250, 0.500], [0.250, 0.750, 0.500], [0.500, 0.500, 0.000], [0.117, 0.625, 0.992], [0.375, 0.367, 0.492], [0.633, 0.125, 0.008], [0.875, 0.883, 0.508]]}

=====

Record 6
{"formula": "TlPb3O", "functional": "PBE-GGA", "state": "relaxed", "raw_formation_energy_ev_per_atom": -0.28, "de_polymorph_mev_per_atom": 0, "spacegroup": "Pm-3m (221)", "lattice": [[5.109, 0.000, 0.000], [0.000, 5.109, 0.000], [0.000, 0.000, 5.109]], "species": ["Tl", "Pb", "Pb", "Pb", "O"], "fractional_positions": [[0.000, 0.000, 0.000], [0.000, 0.500, 0.500], [0.500, 0.000, 0.500], [0.500, 0.500, 0.000], [0.500, 0.500, 0.500]]}

=====

Record 7
{"formula": "Tl2Pb3O8", "functional": "PBE-GGA", "state": "relaxed", "raw_formation_energy_ev_per_atom": -0.76, "spacegroup": "C2/m (12)", "lattice": [[5.679, -3.402, 0.000], [5.679, 3.402, 0.000], [-1.366, 0.000, 5.738]], "species": ["Tl", "Tl", "Pb", "Pb", "Pb", "O", "O", "O", "O", "O", "O", "O", "O"], "fractional_positions": [[0.206, 0.206, 0.101], [0.794, 0.794, 0.899], [0.245, 0.755, 0.500], [0.500, 0.500, 0.000], [0.755, 0.245, 0.500], [0.099, 0.099, 0.379], [0.158, 0.599, 0.126], [0.401, 0.842, 0.874], [0.404, 0.404, 0.630], [0.596, 0.596, 0.370], [0.599, 0.158, 0.126], [0.842, 0.401, 0.874], [0.901, 0.901, 0.621]]}

=====

Record 8
{"formula": "Tl2PbO", "functional": "PBE-GGA", "state": "relaxed", "raw_formation_energy_ev_per_atom": -0.18, "de_polymorph_mev_per_atom": 0, "spacegroup": "I-42d (122)", "lattice": [[-3.663, 3.663, 3.979], [3.663, -3.663, 3.979], [3.663, 3.663, -3.979]], "species": ["Tl", "Tl", "Tl", "Tl", "Pb", "Pb", "O", "O"], "fractional_positions": [[0.038, 0.625, 0.913], [0.375, 0.288, 0.413], [0.712, 0.125, 0.087], [0.875, 0.962, 0.587], [0.250, 0.750, 0.500], [0.500, 0.500, 0.000], [0.000, 0.000, 0.000], [0.750, 0.250, 0.500]]}

=====

Record 9
{"formula": "Tl2PbO4", "functional": "PBE-GGA", "state": "relaxed", "raw_formation_energy_ev_per_atom": -0.44, "de_polymorph_mev_per_atom": 359, "spacegroup": "I4/mmm (139)", "lattice": [[-2.182, 2.182, 6.211], [2.182, -2.182, 6.211], [2.182, 2.182, -6.211]], "species": ["Tl", "Tl", "Pb", "O", "O", "O", "O"], "fractional_positions": [[0.146, 0.146, 0.000], [0.854, 0.854, 0.000], [0.500, 0.500, 0.000], [0.000, 0.500, 0.500], [0.326, 0.326, 0.000], [0.500, 0.000, 0.500], [0.674, 0.674, 0.000]]}

=====

Record 10
{"formula": "TlPb3O", "functional": "PBE-GGA", "state": "relaxed", "raw_formation_energy_ev_per_atom": 0.97, "de_polymorph_mev_per_atom": 1246, "spacegroup": "Pm-3m (221)", "lattice": [[5.868, 0.000, 0.000], [0.000, 5.868, 0.000], [0.000, 0.000, 5.868]], "species": ["Tl", "Pb", "Pb", "Pb", "O"], "fractional_positions": [[0.000, 0.000, 0.000], [0.000, 0.000, 0.500], [0.000, 0.500, 0.000], [0.500, 0.000, 0.000], [0.500, 0.500, 0.500]]}

=====

Record 11
{"formula": "Tl3PbO3", "functional": "PBE-GGA", "state": "relaxed", "raw_formation_energy_ev_per_atom": -0.57, "spacegroup": "Cmcm (63)", "lattice": [[3.735, -7.675, 0.000], [3.735, 7.675, 0.000], [0.000, 0.000, 5.564]], "species": ["Tl", "Tl", "Tl", "Tl", "Tl", "Tl", "Pb", "Pb", "O", "O", "O", "O", "O", "O"], "fractional_positions": [[0.173, 0.827, 0.750], [0.200, 0.353, 0.750], [0.353, 0.200, 0.250], [0.647, 0.800, 0.750], [0.800, 0.647, 0.250], [0.827, 0.173, 0.250], [0.331, 0.669, 0.250], [0.669, 0.331, 0.750], [0.133, 0.867, 0.250], [0.191, 0.343, 0.250], [0.343, 0.191, 0.750], [0.657, 0.809, 0.250], [0.809, 0.657, 0.750], [0.867, 0.133, 0.750]]}

=====

Record 12
{"formula": "UTlPb2O6", "functional": "PBE-GGA", "state": "relaxed", "raw_formation_energy_ev_per_atom": -1.78, "spacegroup": "R3 (146)", "lattice": [[3.110, 1.795, 5.222], [-3.110, 1.795, 5.222], [0.000, -3.591, 5.222]], "species": ["U", "Tl", "Pb", "Pb", "O", "O", "O", "O", "O", "O"], "fractional_positions": [[0.000, 0.000, 0.000], [0.515, 0.515, 0.515], [0.292, 0.292, 0.292], [0.782, 0.782, 0.782], [0.117, 0.328, 0.754], [0.191, 0.885, 0.667], [0.328, 0.754, 0.117], [0.667, 0.191, 0.885], [0.754, 0.117, 0.328], [0.885, 0.667, 0.191]]}

=====

Record 13
{"formula": "UTlPbO5", "functional": "PBE-GGA", "state": "relaxed", "raw_formation_energy_ev_per_atom": -1.93, "spacegroup": "C2/c (15)", "lattice": [[3.394, -4.989, 0.000], [3.394, 4.989, 0.000], [-1.389, 0.000, 8.075]], "species": ["U", "U", "Tl", "Tl", "Pb", "Pb", "O", "O", "O", "O", "O", "O", "O", "O", "O", "O"], "fractional_positions": [[0.000, 0.000, 0.000], [0.000, 0.000, 0.500], [0.331, 0.669, 0.750], [0.669, 0.331, 0.250], [0.336, 0.664, 0.250], [0.664, 0.336, 0.750], [0.027, 0.685, 0.379], [0.092, 0.908, 0.750], [0.171, 0.344, 0.998], [0.315, 0.973, 0.121], [0.344, 0.171, 0.498], [0.656, 0.829, 0.502], [0.685, 0.027, 0.879], [0.829, 0.656, 0.002], [0.908, 0.092, 0.250], [0.973, 0.315, 0.621]]}

=====

Record 14
{"formula": "U3Tl2PbO12", "functional": "PBE-GGA", "state": "relaxed", "raw_formation_energy_ev_per_atom": -2.34, "spacegroup": "R-3m (166)", "lattice": [[4.026, 2.324, 6.405], [-4.026, 2.324, 6.405], [0.000, -4.649, 6.405]], "species": ["U", "U", "U", "Tl", "Tl", "Pb", "O", "O", "O", "O", "O", "O", "O", "O", "O", "O", "O", "O"], "fractional_positions": [[0.000, 0.500, 0.500], [0.500, 0.000, 0.500], [0.500, 0.500, 0.000], [0.173, 0.173, 0.173], [0.827, 0.827, 0.827], [0.500, 0.500, 0.500], [0.173, 0.566, 0.566], [0.192, 0.192, 0.556], [0.192, 0.556, 0.192], [0.434, 0.434, 0.827], [0.434, 0.827, 0.434], [0.444, 0.808, 0.808], [0.556, 0.192, 0.192], [0.566, 0.173, 0.566], [0.566, 0.566, 0.173], [0.808, 0.444, 0.808], [0.808, 0.808, 0.444], [0.827, 0.434, 0.434]]}

=====

Record 15
{"formula": "UTlPbO6", "functional": "PBE-GGA", "state": "relaxed", "raw_formation_energy_ev_per_atom": -1.71, "spacegroup": "P-31c (163)", "lattice": [[5.720, 0.000, 0.000], [-2.860, 4.953, 0.000], [0.000, 0.000, 10.030]], "species": ["U", "U", "Tl", "Tl", "Pb", "Pb", "O", "O", "O", "O", "O", "O", "O", "O", "O", "O", "O", "O"], "fractional_positions": [[0.333, 0.667, 0.250], [0.667, 0.333, 0.750], [0.333, 0.667, 0.750], [0.667, 0.333, 0.250], [0.000, 0.000, 0.000], [0.000, 0.000, 0.500], [0.027, 0.360, 0.134], [0.027, 0.667, 0.366], [0.333, 0.360, 0.366], [0.333, 0.973, 0.134], [0.360, 0.027, 0.634], [0.360, 0.333, 0.866], [0.640, 0.667, 0.134], [0.640, 0.973, 0.366], [0.667, 0.027, 0.866], [0.667, 0.640, 0.634], [0.973, 0.333, 0.634], [0.973, 0.640, 0.866]]}

=====

Record 16
{"formula": "UTl2PbO6", "functional": "PBE-GGA", "state": "relaxed", "raw_formation_energy_ev_per_atom": -1.71, "spacegroup": "C2/m (12)", "lattice": [[5.309, -3.065, 0.000], [5.309, 3.065, 0.000], [-3.540, 0.000, 5.005]], "species": ["U", "Tl", "Tl", "Pb", "O", "O", "O", "O", "O", "O"], "fractional_positions": [[0.000, 0.000, 0.000], [0.250, 0.250, 0.750], [0.750, 0.750, 0.250], [0.500, 0.500, 0.500], [0.240, 0.758, 0.758], [0.241, 0.241, 0.239], [0.242, 0.760, 0.242], [0.758, 0.240, 0.758], [0.759, 0.759, 0.761], [0.760, 0.242, 0.242]]}

=====

Record 17
{"formula": "UTl2PbO8", "functional": "PBE-GGA", "state": "relaxed", "raw_formation_energy_ev_per_atom": -1.46, "spacegroup": "P2/m (10)", "lattice": [[5.090, 0.000, 0.000], [0.000, 6.968, 0.000], [-0.178, 0.000, 5.091]], "species": ["U", "Tl", "Tl", "Pb", "O", "O", "O", "O", "O", "O", "O", "O"], "fractional_positions": [[0.000, 0.000, 0.000], [0.500, 0.251, 0.500], [0.500, 0.749, 0.500], [0.000, 0.500, 0.000], [0.187, 0.234, 0.817], [0.187, 0.766, 0.817], [0.292, 0.000, 0.295], [0.296, 0.500, 0.301], [0.704, 0.500, 0.699], [0.708, 0.000, 0.705], [0.813, 0.234, 0.183], [0.813, 0.766, 0.183]]}

=====

Record 18
{"formula": "U2Tl3PbO9", "functional": "PBE-GGA", "state": "relaxed", "raw_formation_energy_ev_per_atom": -2.03, "spacegroup": "P-3m1 (164)", "lattice": [[6.216, 0.000, 0.000], [-3.108, 5.383, 0.000], [0.000, 0.000, 7.640]], "species": ["U", "U", "Tl", "Tl", "Tl", "Pb", "O", "O", "O", "O", "O", "O", "O", "O", "O"], "fractional_positions": [[0.333, 0.667, 0.161], [0.667, 0.333, 0.839], [0.000, 0.000, 0.000], [0.333, 0.667, 0.654], [0.667, 0.333, 0.346], [0.000, 0.000, 0.500], [0.000, 0.500, 0.000], [0.179, 0.359, 0.316], [0.179, 0.821, 0.316], [0.359, 0.179, 0.684], [0.500, 0.000, 0.000], [0.500, 0.500, 0.000], [0.641, 0.821, 0.316], [0.821, 0.179, 0.684], [0.821, 0.641, 0.684]]}